Record 1
A plane-wave DFT calculation with PBE was carried out for an optimized crystal structure of Cu2Pt.

Geometry as POSCAR:
```
Cu2Pt
1.0
7.0293 -0.0077 0.0479
-0.9930 3.6097 0.0000
-1.9402 -2.4752 6.2867
Pt Cu
4 8
direct
0.9264 0.7598 0.5931 Pt
0.4954 0.5000 0.5046 Pt
0.4069 0.2402 0.0736 Pt
0.8380 0.5000 0.1620 Pt
0.2488 0.7501 0.2514 Cu
0.7486 0.2499 0.7512 Cu
0.1667 0.5000 0.8333 Cu
0.0845 0.2499 0.4153 Cu
0.3333 0.0000 0.6667 Cu
0.0000 0.0000 0.0000 Cu
0.5847 0.7501 0.9155 Cu
0.6667 0.0000 0.3333 Cu
```

Properties
* crystal system: orthorhombic
* calculated formation energy: -0.132 eV per atom
* raw total energy: -4.876 eV per atom
* energy relative to the lowest polymorph listed for this composition: 13.8 meV/atom
* space-group type: Immm



Record 2
A plane-wave DFT calculation with PBE was carried out for an optimized crystal structure of K2ZrSi.

Geometry as POSCAR:
```
K2ZrSi
1.0
4.3816 -0.5549 0.2368
2.6971 3.4974 0.2368
1.6014 0.6657 10.3021
Si K Zr
1 2 1
direct
0.5254 0.5254 0.4219 Si
0.9730 0.9730 0.0710 K
0.7878 0.7878 0.6506 K
0.2138 0.2138 0.3565 Zr
```

Properties
* crystal system: monoclinic
* raw total energy: -3.790 eV per atom
* formation energy without anion corrections: 0.251 eV per atom
* space-group type: Cm



Record 3
A plane-wave DFT calculation with PBE was carried out for an optimized crystal structure of Sr3Tb4Te8.

Geometry as POSCAR:
```
Sr3Tb4Te8
1.0
7.8424 -0.1561 -4.2885
-5.0490 7.4748 -0.2439
-0.1278 0.1717 9.0210
Te Sr Tb
8 3 4
direct
0.4872 0.2358 0.2358 Te
0.0000 0.7534 0.2466 Te
0.0128 0.7573 0.7573 Te
0.5128 0.7642 0.7642 Te
0.5000 0.7560 0.2440 Te
0.9872 0.2427 0.2427 Te
0.5000 0.2440 0.7560 Te
0.0000 0.2466 0.7534 Te
0.5000 0.0000 0.5000 Sr
0.5000 0.5000 0.0000 Sr
0.5000 0.5000 0.5000 Sr
0.5000 0.0000 0.0000 Tb
0.0000 0.0000 0.0000 Tb
0.0000 0.0000 0.5000 Tb
0.0000 0.5000 0.0000 Tb
```

Properties
* crystal system: monoclinic
* raw total energy: -4.738 eV per atom
* formation energy without anion corrections: -1.492 eV per atom
* space-group type: C2/m



Record 4
A plane-wave DFT calculation with PBE was carried out for an optimized crystal structure of MoOsS2Cl.

Geometry as POSCAR:
```
MoOsS2Cl
1.0
-0.6541 -0.7487 4.5632
-4.1698 -1.8969 -0.9089
2.0599 -4.3291 -0.4150
Cl Mo S Os
1 1 2 1
direct
0.0000 0.0000 0.5000 Cl
0.0000 0.0000 0.0000 Mo
0.0000 0.5000 0.0000 S
0.5000 0.0000 0.0000 S
0.5000 0.5000 0.5000 Os
```

Properties
* crystal system: tetragonal
* raw total energy: -5.298 eV per atom
* formation energy without anion corrections: 1.134 eV per atom
* energy relative to the lowest polymorph listed for this composition: 180.3 meV/atom
* space-group type: P4/mmm